The following is a PBE-GGA calculation of BaHgBr4 after structural relaxation, from the Alexandria database.

**DOS at the Fermi energy**: 0.00 states/eV/f.u.
**Uncorrected formation energy**: -126 kJ/mol of atoms

Lattice parameters (Å, degrees): 7.382 7.378 9.662 112.46 112.47 89.97
Fractional coordinates of all 12 atoms:
Ba 0.375 0.625 0.250
Ba 0.625 0.375 0.750
Hg 0.875 0.125 0.250
Hg 0.125 0.875 0.750
Br 0.304 0.955 0.578
Br 0.955 0.774 0.079
Br 0.226 0.377 0.422
Br 0.376 0.696 0.921
Br 0.696 0.045 0.422
Br 0.774 0.623 0.578
Br 0.045 0.226 0.921
Br 0.624 0.304 0.079



The following is a PBE-GGA calculation of K3PrSc2Te6 after structural relaxation, from the Alexandria database.

**Uncorrected formation energy**: -125 kJ/mol of atoms

Lattice parameters (Å, degrees): 7.669 7.669 8.613 98.59 98.59 120.02
Fractional coordinates of all 12 atoms:
K 0.161 0.839 0.500
K 0.839 0.161 0.500
K 0.500 0.500 0.500
Pr 0.000 0.000 0.000
Sc 0.332 0.668 0.000
Sc 0.668 0.332 0.000
Te 0.932 0.578 0.796
Te 0.714 0.714 0.202
Te 0.068 0.422 0.204
Te 0.578 0.932 0.796
Te 0.286 0.286 0.798
Te 0.422 0.068 0.204



The following is a PBE-GGA calculation of Li2IrW after structural relaxation, from the Alexandria database.

**DOS at the Fermi energy**: 2.30 states/eV/f.u.
**Calculated total energy**: -25.2 eV for the cell shown

Lattice parameters (Å, degrees): 4.556 4.556 5.025 82.45 82.45 35.05
Fractional coordinates of all 4 atoms:
Ir 0.258 0.258 0.278
Li 0.990 0.990 0.978
Li 0.747 0.747 0.784
W 0.505 0.505 0.460



The following is a PBE-GGA calculation of YBe2Tc after structural relaxation, from the Alexandria database.

**DOS at the Fermi energy**: 2.23 states/eV/f.u.
**Calculated total energy**: -22.3 eV for the cell shown

Lattice parameters (Å, degrees): 4.422 4.422 4.422 60.00 60.00 60.00
Fractional coordinates of all 4 atoms:
Y 0.250 0.250 0.250
Be 0.000 0.000 0.000
Be 0.750 0.750 0.750
Tc 0.500 0.500 0.500



The following is a PBE-GGA calculation of BaSrMo2 after structural relaxation, from the Alexandria database.

**DOS at the Fermi energy**: 4.30 states/eV/f.u.
**Calculated total energy**: -19.7 eV for the cell shown

Lattice parameters (Å, degrees): 4.187 4.193 5.545 90.00 90.00 90.00
Fractional coordinates of all 4 atoms:
Ba 0.000 0.500 0.500
Mo 0.000 0.000 0.000
Mo 0.500 0.500 0.000
Sr 0.500 0.000 0.500



The following is a PBE-GGA calculation of MnSnIr3 after structural relaxation, from the Alexandria database.

**DOS at the Fermi energy**: 3.74 states/eV/f.u.
**Calculated total energy**: -31.0 eV for the cell shown

Lattice parameters (Å, degrees): 4.823 4.823 4.823 90.00 90.00 90.00
Last column: magnetic moment on the atom in μB.
Fractional coordinates of all 5 atoms:
Ir 0.000 0.500 0.000  -0.35
Ir 0.000 0.000 0.500  -0.43
Ir 0.500 0.000 0.000  -0.30
Sn 0.000 0.000 0.000  0.02
Mn 0.500 0.500 0.500  -4.41



The following is a PBE-GGA calculation of AcBeAl after structural relaxation, from the Alexandria database.

**DOS at the Fermi energy**: 3.73 states/eV/f.u.
**Calculated total energy**: -23.4 eV for the cell shown

Lattice parameters (Å, degrees): 4.411 4.411 8.187 105.63 105.63 90.00
Last column: magnetic moment on the atom in μB.
Fractional coordinates of all 6 atoms:
Be 0.832 0.832 0.664  0.04
Be 0.082 0.582 0.164  0.04
Al 0.250 0.750 0.501  0.01
Al 0.000 0.000 0.001  0.01
Ac 0.418 0.418 0.835  0.10
Ac 0.668 0.168 0.335  0.10



The following is a PBE-GGA calculation of PtAu2Se after structural relaxation, from the Alexandria database.

**DOS at the Fermi energy**: 1.78 states/eV/f.u.
**Uncorrected formation energy**: 25 kJ/mol of atoms

Lattice parameters (Å, degrees): 2.824 4.476 5.721 90.00 90.00 90.00
Fractional coordinates of all 4 atoms:
Au 0.000 0.000 0.007
Au 0.000 0.000 0.493
Pt 0.500 0.500 0.250
Se 0.500 0.500 0.750



The following is a PBE-GGA calculation of Cs2NpSc2Se6 after structural relaxation, from the Alexandria database.

**DOS at the Fermi energy**: 4.73 states/eV/f.u.
**Uncorrected formation energy**: -143 kJ/mol of atoms

Lattice parameters (Å, degrees): 7.001 7.001 8.871 97.54 97.54 120.25
Last column: magnetic moment on the atom in μB.
Fractional coordinates of all 11 atoms:
Cs 0.834 0.166 0.000  0.00
Cs 0.166 0.834 0.000  0.00
Np 0.000 0.000 0.500  3.30
Sc 0.333 0.667 0.500  0.01
Sc 0.667 0.333 0.500  0.01
Se 0.716 0.716 0.677  -0.05
Se 0.060 0.401 0.677  -0.04
Se 0.284 0.284 0.323  -0.05
Se 0.401 0.060 0.677  -0.04
Se 0.940 0.599 0.323  -0.04
Se 0.599 0.940 0.323  -0.04



The following is a PBE-GGA calculation of CuHgAu after structural relaxation, from the Alexandria database.

**DOS at the Fermi energy**: 0.74 states/eV/f.u.
**Calculated total energy**: -15.1 eV for the cell shown

Lattice parameters (Å, degrees): 3.123 3.123 11.703 97.67 97.67 90.00
Fractional coordinates of all 6 atoms:
Hg 0.063 0.063 0.125
Hg 0.937 0.937 0.875
Au 0.656 0.656 0.312
Au 0.344 0.344 0.688
Cu 0.777 0.777 0.554
Cu 0.223 0.223 0.446



The following is a PBE-GGA calculation of PmNd8Tl6 after structural relaxation, from the Alexandria database.

**DOS at the Fermi energy**: 24.24 states/eV/f.u.
**Calculated total energy**: -59.6 eV for the cell shown

Lattice parameters (Å, degrees): 9.366 9.366 8.574 56.89 56.89 60.00
Fractional coordinates of all 15 atoms:
Pm 0.000 0.000 0.000
Nd 0.553 0.221 0.338
Nd 0.779 0.112 0.662
Nd 0.112 0.447 0.662
Nd 0.666 0.666 0.001
Nd 0.334 0.334 0.999
Nd 0.888 0.553 0.338
Nd 0.221 0.888 0.338
Nd 0.447 0.779 0.662
Tl 0.390 0.058 0.826
Tl 0.942 0.274 0.174
Tl 0.274 0.610 0.174
Tl 0.726 0.390 0.826
Tl 0.058 0.726 0.826
Tl 0.610 0.942 0.174



The following is a PBE-GGA calculation of MnAl2Rh after structural relaxation, from the Alexandria database.

**DOS at the Fermi energy**: 3.01 states/eV/f.u.
**Calculated total energy**: -26.0 eV for the cell shown

Lattice parameters (Å, degrees): 4.853 4.853 4.324 73.50 73.50 34.69
Last column: magnetic moment on the atom in μB.
Fractional coordinates of all 4 atoms:
Mn 0.500 0.500 0.539  2.67
Rh 0.252 0.252 0.208  0.15
Al 0.992 0.992 0.045  -0.04
Al 0.755 0.755 0.709  -0.02